The following is a DFT calculation (GGA-PBE) of a relaxed CaBe2In crystal.

Summary:
DFT formation energy: 0.57 eV per formula unit
calculated total energy: -2.91 eV per atom
magnetic moment: 0.0 μB per cell

Lattice parameters (Å, degrees): 4.1730 4.1730 5.7563 68.75 68.75 59.97
Closest atoms and distances in Å follow each position.
Positions (direct):
In 0.2500 0.2500 0.2500  6 Be 2.44-2.45
Be 0.9439 0.9439 0.1690  3 In 2.44-2.45, 3 Be 2.55-2.56
Be 0.5561 0.5561 0.3310  3 In 2.44-2.45, 3 Be 2.55-2.56
Ca 0.7500 0.7500 0.7500  8 Be 3.04-3.26



The following is a DFT calculation (GGA-PBE) of a relaxed CaBeIn2 crystal.

Summary:
DFT formation energy: 0.40 eV per formula unit
calculated total energy: -2.70 eV per atom
magnetic moment: 0.0 μB per cell

Lattice parameters (Å, degrees): 4.4782 4.4775 4.4994 90.00 90.00 90.00
Closest atoms and distances in Å follow each position.
Positions (direct):
Be 0.5000 0.0000 0.5000  4 Ca 3.17, 8 In 3.17
In 0.0000 0.0000 0.0000  4 In 3.17, 4 Ca 3.17, 4 Be 3.17
In 0.5000 0.5000 0.0000  4 In 3.17, 4 Be 3.17, 4 Ca 3.17
Ca 0.0000 0.5000 0.5000  4 Be 3.17, 8 In 3.17



The following is a DFT calculation (GGA-PBE) of a relaxed CaBe2In crystal.

Summary:
DFT formation energy: 2.49 eV per formula unit
calculated total energy: -2.43 eV per atom
magnetic moment: 0.0 μB per cell

Lattice parameters (Å, degrees): 5.3571 5.3571 3.0164 79.52 79.52 110.90
Closest atoms and distances in Å follow each position.
Positions (direct):
Be 0.0000 0.0000 0.0000  2 Ca 2.82, 2 In 2.82, 4 Be 3.02-3.04
Be 0.5000 0.5000 0.0000  2 In 2.82, 2 Ca 2.82, 4 Be 3.02-3.04
Ca 0.5000 0.0000 0.5000  4 Be 2.82, 2 Ca 3.02, 2 In 3.04
In 0.0000 0.5000 0.5000  4 Be 2.82, 2 In 3.02, 2 Ca 3.04



The following is a DFT calculation (GGA-PBE) of a relaxed CaBeIn2 crystal.

Summary:
DFT formation energy: -0.16 eV per formula unit
calculated total energy: -2.84 eV per atom
magnetic moment: 0.0 μB per cell

Lattice parameters (Å, degrees): 6.3668 6.3668 6.3668 39.96 39.96 39.96
Closest atoms and distances in Å follow each position.
Positions (direct):
In 0.9665 0.9665 0.9665  3 Be 2.66
In 0.5335 0.5335 0.5335  3 Be 2.66
Ca 0.7500 0.7500 0.7500  6 In 3.24
Be 0.2500 0.2500 0.2500  6 In 2.66



The following is a DFT calculation (GGA-PBE) of a relaxed CaBe3In crystal.

Summary:
DFT formation energy: 3.89 eV per formula unit
calculated total energy: -2.41 eV per atom
distance to the lowest polymorph of the same formula: 0.0 meV/atom
magnetic moment: 0.0 μB per cell

Lattice parameters (Å, degrees): 4.5982 4.5982 4.5982 90.00 90.00 90.00
Closest atoms and distances in Å follow each position.
Positions (direct):
In 0.0000 0.0000 0.0000  6 Be 2.30
Ca 0.5000 0.5000 0.5000  12 Be 3.25
Be 0.0000 0.5000 0.0000  2 In 2.30
Be 0.5000 0.0000 0.0000  2 In 2.30
Be 0.0000 0.0000 0.5000  2 In 2.30



The following is a DFT calculation (GGA-PBE) of a relaxed CaBeIn2 crystal.

Summary:
DFT formation energy: 0.14 eV per formula unit
calculated total energy: -2.77 eV per atom
magnetic moment: 0.0 μB per cell

Lattice parameters (Å, degrees): 4.3991 3.6852 5.9634 78.35 90.00 90.00
Closest atoms and distances in Å follow each position.
Positions (direct):
Be 0.5000 0.2500 0.2500  4 In 2.64
In 0.0000 0.1221 0.0335  2 Be 2.64, 1 In 2.92
In 0.0000 0.3779 0.4665  2 Be 2.64, 1 In 2.92
Ca 0.5000 0.7500 0.7500  2 Be 3.17, 8 In 3.24-3.39



The following is a DFT calculation (GGA-PBE) of a relaxed CaBeIn2 crystal.

Summary:
DFT formation energy: 0.46 eV per formula unit
calculated total energy: -2.69 eV per atom
magnetic moment: 0.0 μB per cell

Lattice parameters (Å, degrees): 5.8598 5.8598 5.8598 144.02 125.53 67.03
Closest atoms and distances in Å follow each position.
Positions (direct):
Ca 0.2500 0.7500 0.5000  4 Be 3.24, 8 In 3.35-3.40, 2 Ca 3.62
In 0.5449 0.5449 0.0000  2 Be 2.70
In 0.9551 0.9551 0.0000  2 Be 2.70
Be 0.7500 0.2500 0.5000  4 In 2.70



The following is a DFT calculation (GGA-PBE) of a relaxed CaBeIn crystal.

Summary:
DFT formation energy: 2.18 eV per formula unit
calculated total energy: -2.10 eV per atom
distance to the lowest polymorph of the same formula: 792.9 meV/atom
magnetic moment: 0.0 μB per cell

Lattice parameters (Å, degrees): 4.9368 4.9368 4.9368 60.00 60.00 60.00
Closest atoms and distances in Å follow each position.
Positions (direct):
Ca 0.7500 0.7500 0.7500  4 In 3.02, 4 Be 3.02
In 0.0000 0.0000 0.0000  4 Ca 3.02
Be 0.5000 0.5000 0.5000  4 Ca 3.02



The following is a DFT calculation (GGA-PBE) of a relaxed CaBeIn2 crystal.

Summary:
DFT formation energy: -0.14 eV per formula unit
calculated total energy: -2.84 eV per atom
magnetic moment: 0.0 μB per cell

Lattice parameters (Å, degrees): 4.3872 4.3872 6.3234 69.64 69.64 59.98
Closest atoms and distances in Å follow each position.
Positions (direct):
In 0.7930 0.7930 0.6213  3 Be 2.56
In 0.0276 0.0276 0.9168  3 Be 2.86, 3 In 3.06
Ca 0.2421 0.2421 0.2735  6 In 3.23-3.27, 4 Be 3.39-3.49
Be 0.4373 0.4373 0.6884  6 In 2.56-2.86



The following is a DFT calculation (GGA-PBE) of a relaxed CaBeIn3 crystal.

Summary:
DFT formation energy: 5.75 eV per formula unit
calculated total energy: -1.64 eV per atom
distance to the lowest polymorph of the same formula: 1087.2 meV/atom
magnetic moment: 0.0 μB per cell

Lattice parameters (Å, degrees): 5.9755 5.9755 5.9755 90.00 90.00 90.00
Closest atoms and distances in Å follow each position.
Positions (direct):
In 0.5000 0.0000 0.0000  2 Ca 2.99
In 0.0000 0.5000 0.0000  2 Ca 2.99
In 0.0000 0.0000 0.5000  2 Ca 2.99
Ca 0.0000 0.0000 0.0000  6 In 2.99
Be 0.5000 0.5000 0.5000  12 In 4.23



The following is a DFT calculation (GGA-PBE) of a relaxed CaBeIn crystal.

Summary:
DFT formation energy: 0.35 eV per formula unit
calculated total energy: -2.70 eV per atom
distance to the lowest polymorph of the same formula: 183.7 meV/atom
magnetic moment: 0.0 μB per cell

Lattice parameters (Å, degrees): 6.2324 6.2315 3.3727 74.32 74.29 31.40
Closest atoms and distances in Å follow each position.
Positions (direct):
Ca 0.6539 0.6539 0.3461  4 Be 3.09-3.10, 5 In 3.34-3.39, 4 Ca 3.37
Be 0.9826 0.9826 0.0174  4 In 2.75
In 0.3634 0.3634 0.6366  4 Be 2.75



The following is a DFT calculation (GGA-PBE) of a relaxed CaBe2In crystal.

Summary:
DFT formation energy: 1.20 eV per formula unit
calculated total energy: -2.75 eV per atom
magnetic moment: 0.0 μB per cell

Lattice parameters (Å, degrees): 4.5482 4.5482 9.0031 75.37 75.37 90.00
Closest atoms and distances in Å follow each position.
Positions (direct):
Be 0.8750 0.1249 0.7500  2 Be 2.27, 2 In 2.39
Be 0.3750 0.1251 0.7500  2 Be 2.27, 2 In 2.39
Be 0.8751 0.6250 0.2500  2 Be 2.27, 2 In 2.39
Be 0.8749 0.1250 0.2500  2 Be 2.27, 2 In 2.39
Ca 0.2500 0.7500 0.5000  4 In 3.22, 8 Be 3.30
Ca 0.5000 0.5000 0.0000  4 In 3.22, 8 Be 3.30
In 0.0000 0.0000 0.0000  4 Be 2.39
In 0.7500 0.2500 0.5000  4 Be 2.39



The following is a DFT calculation (GGA-PBE) of a relaxed CaBe2In crystal.

Summary:
DFT formation energy: 1.61 eV per formula unit
calculated total energy: -2.65 eV per atom
magnetic moment: 0.0 μB per cell

Lattice parameters (Å, degrees): 4.6730 4.6731 4.6730 120.41 120.41 89.29
Closest atoms and distances in Å follow each position.
Positions (direct):
In 0.7500 0.2500 0.5000  4 Be 2.86, 4 Ca 2.86
Ca 0.5000 0.5000 0.0000  4 Be 2.86, 4 In 2.86
Be 0.2500 0.7500 0.5000  4 Ca 2.86, 4 Be 2.86
Be 0.0000 0.0000 0.0000  4 In 2.86, 4 Be 2.86



The following is a DFT calculation (GGA-PBE) of a relaxed Ca3BeIn crystal.

Summary:
DFT formation energy: 0.97 eV per formula unit
calculated total energy: -2.30 eV per atom
distance to the lowest polymorph of the same formula: 0.0 meV/atom
magnetic moment: 0.0 μB per cell

Lattice parameters (Å, degrees): 5.5015 5.5015 5.5015 90.00 90.00 90.00
Closest atoms and distances in Å follow each position.
Positions (direct):
In 0.5000 0.5000 0.5000  12 Ca 3.89
Ca 0.5000 0.0000 0.0000  2 Be 2.75
Ca 0.0000 0.0000 0.5000  2 Be 2.75
Ca 0.0000 0.5000 0.0000  2 Be 2.75
Be 0.0000 0.0000 0.0000  6 Ca 2.75



The following is a DFT calculation (GGA-PBE) of a relaxed CaBeIn2 crystal.

Summary:
DFT formation energy: 0.56 eV per formula unit
calculated total energy: -2.66 eV per atom
magnetic moment: 0.0 μB per cell

Lattice parameters (Å, degrees): 5.0483 5.0483 5.0483 60.00 60.00 60.00
Closest atoms and distances in Å follow each position.
Positions (direct):
In 0.2500 0.2500 0.2500  4 Be 3.09, 4 In 3.09
In 0.0000 0.0000 0.0000  4 In 3.09, 4 Ca 3.09
Be 0.5000 0.5000 0.5000  4 Ca 3.09, 4 In 3.09
Ca 0.7500 0.7500 0.7500  4 In 3.09, 4 Be 3.09



The following is a DFT calculation (GGA-PBE) of a relaxed CaBeIn2 crystal.

Summary:
DFT formation energy: 1.13 eV per formula unit
calculated total energy: -2.52 eV per atom
magnetic moment: 0.0 μB per cell

Lattice parameters (Å, degrees): 5.6708 6.0702 3.3080 76.58 85.03 116.33
Closest atoms and distances in Å follow each position.
Positions (direct):
Ca 0.5000 0.5000 0.0000  4 In 3.10, 4 Be 3.16-3.40, 2 Ca 3.31
In 0.0000 0.0000 0.0000  2 Be 3.10, 2 Ca 3.10, 6 In 3.16-3.40
In 0.5000 0.0000 0.5000  2 Ca 3.10, 2 Be 3.10, 6 In 3.16-3.40
Be 0.0000 0.5000 0.5000  4 In 3.10, 4 Ca 3.16-3.40, 2 Be 3.31



The following is a DFT calculation (GGA-PBE) of a relaxed CaBe2In crystal.

Summary:
DFT formation energy: 1.62 eV per formula unit
calculated total energy: -2.64 eV per atom
magnetic moment: 0.0 μB per cell

Lattice parameters (Å, degrees): 3.4130 3.4106 6.6165 90.00 90.00 90.00
Closest atoms and distances in Å follow each position.
Positions (direct):
Be 0.0000 0.0000 0.9368  1 Be 2.47, 4 In 2.71
Be 0.0000 0.0000 0.5632  1 Be 2.47, 4 In 2.71
Ca 0.5000 0.5000 0.2500  8 Be 3.18, 2 In 3.31, 4 Ca 3.41
In 0.5000 0.5000 0.7500  8 Be 2.71



The following is a DFT calculation (GGA-PBE) of a relaxed CaBe2In crystal.

Summary:
DFT formation energy: 1.29 eV per formula unit
calculated total energy: -2.72 eV per atom
magnetic moment: 0.0 μB per cell

Lattice parameters (Å, degrees): 4.9441 4.9441 4.9441 130.81 117.53 83.35
Closest atoms and distances in Å follow each position.
Positions (direct):
Be 0.1595 0.6595 0.5000  2 Be 2.14
Be 0.0802 0.0802 0.0000  2 Be 2.14
In 0.7836 0.2836 0.5000  5 Be 2.78-3.01, 4 Ca 2.93-3.06
Ca 0.4767 0.4767 0.0000  5 Be 2.90-3.12, 4 In 2.93-3.06



The following is a DFT calculation (GGA-PBE) of a relaxed CaBeIn3 crystal.

Summary:
DFT formation energy: 0.32 eV per formula unit
calculated total energy: -2.73 eV per atom
distance to the lowest polymorph of the same formula: 0.0 meV/atom
magnetic moment: 0.0 μB per cell

Lattice parameters (Å, degrees): 5.0143 5.0143 5.0143 90.00 90.00 90.00
Closest atoms and distances in Å follow each position.
Positions (direct):
In 0.0000 0.0000 0.5000  2 Be 2.51
In 0.5000 0.0000 0.0000  2 Be 2.51
In 0.0000 0.5000 0.0000  2 Be 2.51
Be 0.0000 0.0000 0.0000  6 In 2.51
Ca 0.5000 0.5000 0.5000  12 In 3.55



The following is a DFT calculation (GGA-PBE) of a relaxed CaBeIn crystal.

Summary:
DFT formation energy: 0.20 eV per formula unit
calculated total energy: -2.75 eV per atom
distance to the lowest polymorph of the same formula: 133.6 meV/atom
magnetic moment: 0.0 μB per cell

Lattice parameters (Å, degrees): 4.6309 4.6309 4.6309 60.00 60.00 60.00
Closest atoms and distances in Å follow each position.
Positions (direct):
Ca 0.0000 0.0000 0.0000  4 Be 2.84
In 0.5000 0.5000 0.5000  4 Be 2.84
Be 0.7500 0.7500 0.7500  4 In 2.84, 4 Ca 2.84